Record 1
# V2Ni8As PBE optimized geometry
# Formation energy from the elements (eV/atom): -0.168
# DOS(E_F) (states/eV/atom): 0.98
# E_tot (eV/atom): -6.45
# Spin magnetization (μB per formula unit): 0.00
data_V2Ni8As
_chemical_formula_sum 'V4 Ni16 As2'
_symmetry_space_group_name_H-M 'C 1 2/m 1'
_symmetry_Int_Tables_number 12
_cell_length_a 12.846
_cell_length_b 3.618
_cell_length_c 5.689
_cell_angle_alpha 90.00
_cell_angle_beta 106.17
_cell_angle_gamma 90.00
loop_
_symmetry_equiv_pos_as_xyz
'x,y,z'
'-x,-y,-z'
'-x,y,-z'
'x,-y,z'
'x+1/2,y+1/2,z'
'-x+1/2,-y+1/2,-z'
'-x+1/2,y+1/2,-z'
'x+1/2,-y+1/2,z'
loop_
_atom_site_label
_atom_site_fract_x
_atom_site_fract_y
_atom_site_fract_z
_atom_site_occupancy
V1 0.220 0.000 0.152 1
Ni1 0.043 0.000 0.227 1
Ni2 0.094 0.500 0.952 1
Ni3 0.146 0.000 0.694 1
Ni4 0.180 0.500 0.409 1
As1 0.000 0.500 0.500 1

***

Record 2
# Na2CuAu PBE optimized geometry
# Formation energy from the elements (eV/atom): 0.090
# DOS(E_F) (states/eV/atom): 0.22
# Energy relative to the lowest polymorph listed for this composition (eV/f.u.): 0.122
# E_tot (eV/atom): -2.41
# Spin magnetization (μB per formula unit): 0.00
data_Na2CuAu
_chemical_formula_sum 'Na8 Cu4 Au4'
_symmetry_space_group_name_H-M 'I -4 2 d'
_symmetry_Int_Tables_number 122
_symmetry_space_group_name_Hall 'I -4 2bw'
_cell_length_a 7.962
_cell_length_b 7.962
_cell_length_c 5.328
_cell_angle_alpha 90.00
_cell_angle_beta 90.00
_cell_angle_gamma 90.00
loop_
_atom_site_label
_atom_site_fract_x
_atom_site_fract_y
_atom_site_fract_z
_atom_site_occupancy
Na1 0.238 0.250 0.125 1
Cu1 0.000 0.000 0.000 1
Au1 0.000 0.000 0.500 1

***

Record 3
# EuLuAg PBE optimized geometry
# Formation energy from the elements (eV/atom): -0.160
# DOS(E_F) (states/eV/atom): 0.63
# Energy relative to the lowest polymorph listed for this composition (eV/f.u.): 0.000
# E_tot (eV/atom): -6.04
# Spin magnetization (μB per formula unit): 7.26
data_EuLuAg
_chemical_formula_sum 'Eu2 Lu2 Ag2'
_symmetry_space_group_name_H-M 'I 4 m m'
_symmetry_Int_Tables_number 107
_symmetry_space_group_name_Hall 'I 4 -2'
_cell_length_a 3.653
_cell_length_b 3.653
_cell_length_c 12.928
_cell_angle_alpha 90.00
_cell_angle_beta 90.00
_cell_angle_gamma 90.00
loop_
_atom_site_label
_atom_site_fract_x
_atom_site_fract_y
_atom_site_fract_z
_atom_site_occupancy
Eu1 0.000 0.000 0.000 1
Lu1 0.000 0.000 0.283 1
Ag1 0.000 0.000 0.665 1

***

> What is the spin magnetization in the first record?

0.00 μB per formula unit